Record 1
Material: Np3Bi5Te12
Method: DFT, GGA-PBE
State: relaxed

ΔE_f (raw)	-0.222	eV/atom
D(E_F)	0.811	states/eV per atom

Unit cell a=18.431 b=18.431 c=18.431 alpha=90.00 beta=90.00 gamma=90.00
Space group Ia-3d (No. 230)
Inequivalent atoms, fractional coordinates:
Np1 0.000 0.250 0.125 [24 per cell]
Bi1 0.000 0.000 0.000 [16 per cell]
Bi2 0.000 0.250 0.375 [24 per cell]
Te1 0.013 0.070 0.654 [96 per cell]

***

Record 2
Material: NpBiTe2
Method: DFT, GGA-PBE
State: relaxed

ΔE_f (raw)	-0.298	eV/atom
D(E_F)	2.193	states/eV per atom
relative energy among the computed polymorphs	0.0	kJ/mol of atoms

Unit cell a=3.801 b=3.801 c=7.933 alpha=90.00 beta=90.00 gamma=90.00
Space group P4/mmm (No. 123)
Inequivalent atoms, fractional coordinates:
Np1 0.000 0.000 0.000 [1 per cell]
Bi1 0.000 0.000 0.500 [1 per cell]
Te1 0.500 0.500 0.218 [2 per cell]

***

Record 3
Material: Np3BiTe6
Method: DFT, GGA-PBE
State: relaxed

ΔE_f (raw)	-0.487	eV/atom
D(E_F)	3.079	states/eV per atom

Unit cell a=11.922 b=14.959 c=7.571 alpha=90.00 beta=90.00 gamma=90.00
Space group Cmc2_1 (No. 36)
Inequivalent atoms, fractional coordinates:
Np1 0.000 0.091 0.000 [4 per cell]
Np2 0.179 0.402 0.885 [8 per cell]
Bi1 0.000 0.318 0.363 [4 per cell]
Te1 0.000 0.263 0.751 [4 per cell]
Te2 0.000 0.499 0.620 [4 per cell]
Te3 0.166 0.040 0.697 [8 per cell]
Te4 0.181 0.229 0.147 [8 per cell]

***

Record 4
Material: NpBiTe2
Method: DFT, GGA-PBE
State: relaxed

ΔE_f (raw)	0.365	eV/atom
D(E_F)	1.393	states/eV per atom
relative energy among the computed polymorphs	64.0	kJ/mol of atoms

Unit cell a=3.3961 b=3.3961 c=35.9148 alpha=90.00 beta=90.00 gamma=120.00
Space group R-3m (No. 166, hexagonal axes)
Inequivalent atoms, fractional coordinates:
Np1 0.0000 0.0000 0.0000 [3 per cell]
Bi1 0.0000 0.0000 0.5000 [3 per cell]
Te1 0.0000 0.0000 0.0857 [6 per cell]

***

Record 5
Material: NpBiTe3
Method: DFT, GGA-PBE
State: relaxed

ΔE_f (raw)	-0.310	eV/atom
D(E_F)	2.519	states/eV per atom

Unit cell a=7.884 b=4.342 c=12.536 alpha=90.00 beta=104.84 gamma=90.00
Space group P2_1/m (No. 11)
Inequivalent atoms, fractional coordinates:
Np1 0.232 0.250 0.446 [2 per cell]
Bi1 0.373 0.250 0.853 [2 per cell]
Te1 0.057 0.250 0.642 [2 per cell]
Te2 0.243 0.750 0.977 [2 per cell]
Te3 0.440 0.750 0.354 [2 per cell]

***

Record 6
Material: NpBiTe4
Method: DFT, GGA-PBE
State: relaxed

ΔE_f (raw)	-0.091	eV/atom
D(E_F)	1.676	states/eV per atom

Unit cell a=9.975 b=11.892 c=8.761 alpha=90.00 beta=90.00 gamma=90.00
Space group Cmcm (No. 63)
Inequivalent atoms, fractional coordinates:
Np1 0.000 0.000 0.250 [4 per cell]
Bi1 0.000 0.362 0.250 [4 per cell]
Te1 0.000 0.173 0.504 [8 per cell]
Te2 0.206 0.465 0.750 [8 per cell]

***

Record 7
Material: NpBi3Te6
Method: DFT, GGA-PBE
State: relaxed

ΔE_f (raw)	-0.306	eV/atom
D(E_F)	0.790	states/eV per atom

Unit cell a=13.145 b=4.376 c=13.254 alpha=90.00 beta=109.48 gamma=90.00
Space group P2_1/m (No. 11)
Inequivalent atoms, fractional coordinates:
Np1 0.191 0.250 0.041 [2 per cell]
Bi1 0.035 0.750 0.303 [2 per cell]
Bi2 0.341 0.250 0.438 [2 per cell]
Bi3 0.402 0.750 0.851 [2 per cell]
Te1 0.032 0.750 0.898 [2 per cell]
Te2 0.120 0.250 0.472 [2 per cell]
Te3 0.234 0.750 0.238 [2 per cell]
Te4 0.236 0.250 0.809 [2 per cell]
Te5 0.388 0.750 0.074 [2 per cell]
Te6 0.428 0.750 0.604 [2 per cell]

***

Record 8
Material: Np2Tl3BiTe6
Method: DFT, GGA-PBE
State: relaxed

ΔE_f (raw)	-0.467	eV/atom
D(E_F)	1.446	states/eV per atom

Unit cell a=7.852 b=13.606 c=8.529 alpha=90.00 beta=107.88 gamma=90.00
Space group C2/m (No. 12)
Inequivalent atoms, fractional coordinates:
Np1 0.000 0.167 0.000 [4 per cell]
Tl1 0.000 0.000 0.500 [2 per cell]
Tl2 0.000 0.333 0.500 [4 per cell]
Bi1 0.000 0.500 0.000 [2 per cell]
Te1 0.233 0.000 0.217 [4 per cell]
Te2 0.242 0.330 0.217 [8 per cell]

***

Record 9
Material: NpTl3Bi2Te6
Method: DFT, GGA-PBE
State: relaxed

ΔE_f (raw)	-0.381	eV/atom
D(E_F)	0.460	states/eV per atom

Unit cell a=7.878 b=13.637 c=8.511 alpha=90.00 beta=107.96 gamma=90.00
Space group C2/m (No. 12)
Inequivalent atoms, fractional coordinates:
Np1 0.000 0.000 0.000 [2 per cell]
Tl1 0.000 0.167 0.500 [4 per cell]
Tl2 0.000 0.500 0.500 [2 per cell]
Bi1 0.000 0.334 0.000 [4 per cell]
Te1 0.239 0.165 0.220 [8 per cell]
Te2 0.243 0.500 0.220 [4 per cell]

***

Record 10
Material: ThNpBi2
Method: DFT, GGA-PBE
State: relaxed

D(E_F)	3.007	states/eV per atom
relative energy among the computed polymorphs	0.0	kJ/mol of atoms
calculated formation energy	-0.77	eV/f.u.

Unit cell a=3.849 b=3.849 c=8.005 alpha=90.00 beta=90.00 gamma=90.00
Space group P4/mmm (No. 123)
Inequivalent atoms, fractional coordinates:
Th1 0.000 0.000 0.000 [1 per cell]
Np1 0.000 0.000 0.500 [1 per cell]
Bi1 0.500 0.500 0.255 [2 per cell]

***

Record 11
Material: Th2NpBi3
Method: DFT, GGA-PBE
State: relaxed

D(E_F)	2.441	states/eV per atom
calculated formation energy	-0.72	eV/f.u.

Unit cell a=4.559 b=4.559 c=19.315 alpha=90.00 beta=90.00 gamma=90.00
Space group I4/mmm (No. 139)
Inequivalent atoms, fractional coordinates:
Th1 0.000 0.000 0.169 [4 per cell]
Np1 0.000 0.000 0.500 [2 per cell]
Bi1 0.000 0.000 0.000 [2 per cell]
Bi2 0.000 0.000 0.337 [4 per cell]

***

Record 12
Material: ThNpBi2
Method: DFT, GGA-PBE
State: relaxed

D(E_F)	3.995	states/eV per atom
relative energy among the computed polymorphs	2.6	kJ/mol of atoms
calculated formation energy	-0.66	eV/f.u.

Unit cell a=7.829 b=7.829 c=7.829 alpha=90.00 beta=90.00 gamma=90.00
Space group Fm-3m (No. 225)
Inequivalent atoms, fractional coordinates:
Th1 0.000 0.000 0.000 [4 per cell]
Np1 0.000 0.000 0.500 [4 per cell]
Bi1 0.250 0.250 0.250 [8 per cell]

***

Record 13
Material: ThNpBi2
Method: DFT, GGA-PBE
State: relaxed

D(E_F)	2.052	states/eV per atom
relative energy among the computed polymorphs	38.2	kJ/mol of atoms
calculated formation energy	0.81	eV/f.u.

Unit cell a=3.4169 b=3.4169 c=36.5570 alpha=90.00 beta=90.00 gamma=120.00
Space group R-3m (No. 166, hexagonal axes)
Inequivalent atoms, fractional coordinates:
Th1 0.0000 0.0000 0.0000 [3 per cell]
Np1 0.0000 0.0000 0.5000 [3 per cell]
Bi1 0.0000 0.0000 0.0913 [6 per cell]

***

Record 14
Material: NpTiBi2
Method: DFT, GGA-PBE
State: relaxed

D(E_F)	2.824	states/eV per atom
relative energy among the computed polymorphs	7.0	kJ/mol of atoms
calculated formation energy	0.54	eV/f.u.

Unit cell a=5.017 b=5.017 c=4.095 alpha=90.00 beta=90.00 gamma=90.00
Space group P4/mmm (No. 123)
Inequivalent atoms, fractional coordinates:
Np1 0.000 0.000 0.000 [1 per cell]
Ti1 0.500 0.500 0.000 [1 per cell]
Bi1 0.000 0.500 0.500 [2 per cell]

***

Record 15
Material: NpTiBi2
Method: DFT, GGA-PBE
State: relaxed

D(E_F)	2.734	states/eV per atom
relative energy among the computed polymorphs	0.0	kJ/mol of atoms
calculated formation energy	0.25	eV/f.u.

Unit cell a=4.2624 b=4.2624 c=21.3516 alpha=90.00 beta=90.00 gamma=120.00
Space group R-3m (No. 166, hexagonal axes)
Inequivalent atoms, fractional coordinates:
Np1 0.0000 0.0000 0.0000 [3 per cell]
Ti1 0.0000 0.0000 0.5000 [3 per cell]
Bi1 0.0000 0.0000 0.2395 [6 per cell]

***

Record 16
Material: NpTiBi2
Method: DFT, GGA-PBE
State: relaxed

D(E_F)	2.370	states/eV per atom
relative energy among the computed polymorphs	2.3	kJ/mol of atoms
calculated formation energy	0.34	eV/f.u.

Unit cell a=3.546 b=3.546 c=8.011 alpha=90.00 beta=90.00 gamma=90.00
Space group P4/mmm (No. 123)
Inequivalent atoms, fractional coordinates:
Np1 0.000 0.000 0.000 [1 per cell]
Ti1 0.000 0.000 0.500 [1 per cell]
Bi1 0.500 0.500 0.280 [2 per cell]

***

Record 17
Material: NpTl2Bi
Method: DFT, GGA-PBE
State: relaxed

D(E_F)	3.024	states/eV per atom
calculated formation energy	0.35	eV/f.u.

Unit cell a=4.675 b=4.675 c=5.142 alpha=90.00 beta=90.00 gamma=90.00
Space group P4/mmm (No. 123)
Inequivalent atoms, fractional coordinates:
Np1 0.000 0.000 0.000 [1 per cell]
Tl1 0.000 0.500 0.500 [2 per cell]
Bi1 0.500 0.500 0.000 [1 per cell]

***

Record 18
Material: Np2TlBi
Method: DFT, GGA-PBE
State: relaxed

D(E_F)	3.440	states/eV per atom
calculated formation energy	0.89	eV/f.u.

Unit cell a=4.810 b=4.810 c=4.720 alpha=90.00 beta=90.00 gamma=90.00
Space group P4/mmm (No. 123)
Inequivalent atoms, fractional coordinates:
Np1 0.000 0.500 0.000 [2 per cell]
Tl1 0.000 0.000 0.500 [1 per cell]
Bi1 0.500 0.500 0.500 [1 per cell]

***

Record 19
Material: Tm4NpBi5
Method: DFT, GGA-PBE
State: relaxed

D(E_F)	1.127	states/eV per atom
calculated formation energy	-5.92	eV/f.u.

Unit cell a=9.954 b=9.954 c=6.306 alpha=90.00 beta=90.00 gamma=90.00
Space group I4/m (No. 87)
Inequivalent atoms, fractional coordinates:
Tm1 0.102 0.700 0.000 [8 per cell]
Np1 0.000 0.000 0.500 [2 per cell]
Bi1 0.000 0.000 0.000 [2 per cell]
Bi2 0.100 0.697 0.500 [8 per cell]

***

Record 20
Material: TmNpBi2
Method: DFT, GGA-PBE
State: relaxed

D(E_F)	2.886	states/eV per atom
relative energy among the computed polymorphs	0.0	kJ/mol of atoms
calculated formation energy	-1.31	eV/f.u.

Unit cell a=4.4616 b=4.4616 c=22.0399 alpha=90.00 beta=90.00 gamma=120.00
Space group R-3m (No. 166, hexagonal axes)
Inequivalent atoms, fractional coordinates:
Tm1 0.0000 0.0000 0.0000 [3 per cell]
Np1 0.0000 0.0000 0.5000 [3 per cell]
Bi1 0.0000 0.0000 0.2520 [6 per cell]